A plane-wave DFT calculation with PBE was carried out for a geometry-optimized GaCo2Te structure.

```
data_GaCo2Te
_chemical_formula_sum 'Ga4 Co8 Te4'
_space_group_name_H-M_alt 'I -4 2 d'
_space_group_IT_number 122
_space_group_name_Hall 'I -4 2bw'
_cell_length_a 4.097
_cell_length_b 4.097
_cell_length_c 15.877
_cell_angle_alpha 90.00
_cell_angle_beta 90.00
_cell_angle_gamma 90.00
loop_
_atom_site_label
_atom_site_fract_x
_atom_site_fract_y
_atom_site_fract_z
Ga1 0.000 0.000 0.000
Co1 0.240 0.250 0.125
Te1 0.000 0.000 0.500
```

Summary:
spin magnetization: 0.76 μB per formula unit
total energy: -4.7926 eV per atom

A plane-wave DFT calculation with PBE was carried out for a geometry-optimized LiTb4 structure.

```
data_LiTb4
_chemical_formula_sum 'Li1 Tb4'
_space_group_name_H-M_alt 'P m -3 m'
_space_group_IT_number 221
_space_group_name_Hall '-P 4 2 3'
_cell_length_a 5.384
_cell_length_b 5.384
_cell_length_c 5.384
_cell_angle_alpha 90.00
_cell_angle_beta 90.00
_cell_angle_gamma 90.00
loop_
_atom_site_label
_atom_site_fract_x
_atom_site_fract_y
_atom_site_fract_z
Li1 0.000 0.000 0.000
Tb1 0.000 0.000 0.500
Tb2 0.500 0.500 0.500
```

Summary:
spin magnetization: 0.00 μB per formula unit
DFT formation energy: 0.437 eV per atom

A plane-wave DFT calculation with PBE was carried out for a geometry-optimized Ho4Se3N2 structure.

```
data_Ho4Se3N2
_chemical_formula_sum 'Ho8 Se6 N4'
_space_group_name_H-M_alt 'C 1 2/m 1'
_space_group_IT_number 12
_space_group_name_Hall '-C 2y'
_cell_length_a 13.020
_cell_length_b 3.531
_cell_length_c 8.335
_cell_angle_alpha 90.00
_cell_angle_beta 101.85
_cell_angle_gamma 90.00
loop_
_atom_site_label
_atom_site_fract_x
_atom_site_fract_y
_atom_site_fract_z
Ho1 0.088 0.000 0.190
Ho2 0.174 0.500 0.604
Se1 0.000 0.000 0.500
Se2 0.101 0.500 0.910
N1 0.201 0.500 0.338
```

Summary:
spin magnetization: 0.00 μB per formula unit
total energy: -6.7437 eV per atom

A plane-wave DFT calculation with PBE was carried out for a geometry-optimized La3SnO structure.

```
data_La3SnO
_chemical_formula_sum 'La12 Sn4 O4'
_space_group_name_H-M_alt 'C 1 2/m 1'
_space_group_IT_number 12
_space_group_name_Hall '-C 2y'
_cell_length_a 13.518
_cell_length_b 3.636
_cell_length_c 13.128
_cell_angle_alpha 90.00
_cell_angle_beta 117.55
_cell_angle_gamma 90.00
loop_
_atom_site_label
_atom_site_fract_x
_atom_site_fract_y
_atom_site_fract_z
La1 0.129 0.000 0.471
La2 0.132 0.500 0.993
La3 0.152 0.500 0.745
Sn1 0.131 0.500 0.254
O1 0.163 0.000 0.880
```

Summary:
spin magnetization: 0.85 μB per formula unit
total energy: -6.0223 eV per atom

A plane-wave DFT calculation with PBE was carried out for a geometry-optimized Tb2Er6Th structure.

```
data_Tb2Er6Th
_chemical_formula_sum 'Tb6 Er18 Th3'
_space_group_name_H-M_alt 'R 3'
_space_group_IT_number 146
_space_group_name_Hall 'R 3'
_cell_length_a 6.8705
_cell_length_b 6.8705
_cell_length_c 23.1652
_cell_angle_alpha 90.00
_cell_angle_beta 90.00
_cell_angle_gamma 120.00
loop_
_atom_site_label
_atom_site_fract_x
_atom_site_fract_y
_atom_site_fract_z
Tb1 0.0000 0.0000 0.0000
Tb2 0.0000 0.0000 0.1591
Er1 0.0082 0.5032 0.9615
Er2 0.1670 0.8316 0.5171
Th1 0.0000 0.0000 0.4045
```

Summary:
spin magnetization: 0.00 μB per formula unit
DFT formation energy: 0.427 eV per atom

A plane-wave DFT calculation with PBE was carried out for a geometry-optimized ScFe2Rh structure.

```
data_ScFe2Rh
_chemical_formula_sum 'Sc2 Fe4 Rh2'
_space_group_name_H-M_alt 'I m m 2'
_space_group_IT_number 44
_space_group_name_Hall 'I 2 -2'
_cell_length_a 3.123
_cell_length_b 4.329
_cell_length_c 8.570
_cell_angle_alpha 90.00
_cell_angle_beta 90.00
_cell_angle_gamma 90.00
loop_
_atom_site_label
_atom_site_fract_x
_atom_site_fract_y
_atom_site_fract_z
Sc1 0.000 0.000 0.000
Fe1 0.000 0.000 0.507
Fe2 0.000 0.500 0.234
Rh1 0.000 0.500 0.760
```

Summary:
spin magnetization: 5.23 μB per formula unit
DFT formation energy: -0.181 eV per atom

A plane-wave DFT calculation with PBE was carried out for a geometry-optimized AlAs2P structure.

```
data_AlAs2P
_chemical_formula_sum 'Al2 As4 P2'
_space_group_name_H-M_alt 'C 1 2/m 1'
_space_group_IT_number 12
_space_group_name_Hall '-C 2y'
_cell_length_a 5.800
_cell_length_b 9.234
_cell_length_c 2.759
_cell_angle_alpha 90.00
_cell_angle_beta 109.99
_cell_angle_gamma 90.00
loop_
_atom_site_label
_atom_site_fract_x
_atom_site_fract_y
_atom_site_fract_z
Al1 0.000 0.000 0.000
As1 0.250 0.250 0.500
P1 0.000 0.500 0.000
```

Summary:
spin magnetization: 0.00 μB per formula unit
DFT formation energy: 0.354 eV per atom

A plane-wave DFT calculation with PBE was carried out for a geometry-optimized Ac4IrPdS2 structure.

```
data_Ac4IrPdS2
_chemical_formula_sum 'Ac4 Ir1 Pd1 S2'
_space_group_name_H-M_alt 'P 1 2/m 1'
_space_group_IT_number 10
_space_group_name_Hall '-P 2y'
_cell_length_a 7.406
_cell_length_b 4.290
_cell_length_c 7.972
_cell_angle_alpha 90.00
_cell_angle_beta 108.01
_cell_angle_gamma 90.00
loop_
_atom_site_label
_atom_site_fract_x
_atom_site_fract_y
_atom_site_fract_z
Ac1 0.238 0.000 0.235
Ac2 0.247 0.500 0.762
Ir1 0.000 0.500 0.000
Pd1 0.500 0.000 0.000
S1 0.000 0.000 0.500
S2 0.500 0.500 0.500
```

Summary:
spin magnetization: 0.00 μB per formula unit
total energy: -6.1698 eV per atom

A plane-wave DFT calculation with PBE was carried out for a geometry-optimized Ca3SmHf2As6 structure.

```
data_Ca3SmHf2As6
_chemical_formula_sum 'Ca6 Sm2 Hf4 As12'
_space_group_name_H-M_alt 'C 1 2/m 1'
_space_group_IT_number 12
_space_group_name_Hall '-C 2y'
_cell_length_a 6.993
_cell_length_b 12.138
_cell_length_c 7.253
_cell_angle_alpha 90.00
_cell_angle_beta 108.95
_cell_angle_gamma 90.00
loop_
_atom_site_label
_atom_site_fract_x
_atom_site_fract_y
_atom_site_fract_z
Ca1 0.000 0.000 0.000
Ca2 0.000 0.339 0.000
Sm1 0.000 0.500 0.500
Hf1 0.000 0.168 0.500
As1 0.225 0.000 0.727
As2 0.247 0.176 0.271
```

Summary:
spin magnetization: 0.00 μB per formula unit
DFT formation energy: -1.168 eV per atom

A plane-wave DFT calculation with PBE was carried out for a geometry-optimized InRe4Ru structure.

```
data_InRe4Ru
_chemical_formula_sum 'In4 Re16 Ru4'
_space_group_name_H-M_alt 'F -4 3 m'
_space_group_IT_number 216
_space_group_name_Hall 'F -4 2 3'
_cell_length_a 7.359
_cell_length_b 7.359
_cell_length_c 7.359
_cell_angle_alpha 90.00
_cell_angle_beta 90.00
_cell_angle_gamma 90.00
loop_
_atom_site_label
_atom_site_fract_x
_atom_site_fract_y
_atom_site_fract_z
In1 0.000 0.000 0.000
Re1 0.125 0.125 0.625
Ru1 0.250 0.250 0.250
```

Summary:
spin magnetization: 0.00 μB per formula unit
DFT formation energy: 0.568 eV per atom

A plane-wave DFT calculation with PBE was carried out for a geometry-optimized CsCa3S structure.

```
data_CsCa3S
_chemical_formula_sum 'Cs1 Ca3 S1'
_space_group_name_H-M_alt 'P m -3 m'
_space_group_IT_number 221
_space_group_name_Hall '-P 4 2 3'
_cell_length_a 6.024
_cell_length_b 6.024
_cell_length_c 6.024
_cell_angle_alpha 90.00
_cell_angle_beta 90.00
_cell_angle_gamma 90.00
loop_
_atom_site_label
_atom_site_fract_x
_atom_site_fract_y
_atom_site_fract_z
Cs1 0.000 0.000 0.000
Ca1 0.000 0.000 0.500
S1 0.500 0.500 0.500
```

Summary:
spin magnetization: 4.00 μB per formula unit
total energy: -1.0456 eV per atom

A plane-wave DFT calculation with PBE was carried out for a geometry-optimized CaSc2BiRu structure.

```
data_CaSc2BiRu
_chemical_formula_sum 'Ca1 Sc2 Bi1 Ru1'
_space_group_name_H-M_alt 'P 4/m m m'
_space_group_IT_number 123
_space_group_name_Hall '-P 4 2'
_cell_length_a 5.310
_cell_length_b 5.310
_cell_length_c 4.603
_cell_angle_alpha 90.00
_cell_angle_beta 90.00
_cell_angle_gamma 90.00
loop_
_atom_site_label
_atom_site_fract_x
_atom_site_fract_y
_atom_site_fract_z
Ca1 0.000 0.000 0.000
Sc1 0.000 0.500 0.000
Bi1 0.500 0.500 0.500
Ru1 0.000 0.000 0.500
```

Summary:
spin magnetization: 0.00 μB per formula unit
DFT formation energy: 1.074 eV per atom